(1)
DyPuZnPd: optimized geometry, PBE-GGA.

abc: 7.101 7.101 7.101
angles: 90.00 90.00 90.00
Space group F-43m (No. 216)
Asymmetric unit:
Dy: 0.000 0.000 0.000
Pu: 0.000 0.000 0.500
Zn: 0.250 0.250 0.250
Pd: 0.250 0.250 0.750

Formation enthalpy at 0 K in eV/f.u.: -1.472
Raw total energy in eV per atom: -6.7183

---

(2)
CsPbO2: optimized geometry, PBE-GGA.

abc: 6.763 4.409 11.946
angles: 90.00 90.00 90.00
Space group Pnma (No. 62)
Asymmetric unit:
Cs: 0.066 0.250 0.131
Pb: 0.054 0.750 0.378
O: 0.110 0.250 0.449
O: 0.184 0.250 0.750

Formation energy (no corrections) in meV per atom: -1108.5
Raw total energy in eV per atom: -4.7281

---

(3)
CdInCl: optimized geometry, PBE-GGA.

abc: 7.368 7.368 7.368
angles: 90.00 90.00 90.00
Space group F-43m (No. 216)
Asymmetric unit:
Cd: 0.000 0.000 0.000
In: 0.250 0.250 0.750
Cl: 0.000 0.000 0.500

Formation energy (no corrections) in meV per atom: -329.3
Energy relative to the lowest polymorph listed for this composition in meV/atom: 38
Raw total energy in eV per atom: -2.1627